The following is a DFT calculation (PBE) of Dy3ScRu4 after structural relaxation.

```
data_Dy3ScRu4
_cell_length_a 3.3627
_cell_length_b 4.7368
_cell_length_c 9.4675
_cell_angle_alpha 90.00
_cell_angle_beta 90.00
_cell_angle_gamma 90.00
_symmetry_space_group_name_H-M 'P m m m'
_symmetry_Int_Tables_number 47
loop_
_symmetry_equiv_pos_as_xyz
'x,y,z'
'-x,-y,-z'
'-x,-y,z'
'x,y,-z'
'x,-y,-z'
'-x,y,z'
'-x,y,-z'
'x,-y,z'
loop_
_atom_site_label
_atom_site_type_symbol
_atom_site_fract_x
_atom_site_fract_y
_atom_site_fract_z
_atom_site_occupancy
Dy1 Dy 0.0000 0.0000 0.0000 1
Dy2 Dy 0.0000 0.5000 0.2561 1
Sc1 Sc 0.0000 0.0000 0.5000 1
Ru1 Ru 0.5000 0.0000 0.2611 1
Ru2 Ru 0.5000 0.5000 0.0000 1
Ru3 Ru 0.5000 0.5000 0.5000 1
```

Properties
Total energy in eV per atom: -7.5121
DFT formation energy in meV per atom: -357
Calculated volume in Å³/cell: 150.8